*A*
## SbAsPtO (PBE)

Data for a geometry-optimized SbAsPtO structure.

Cell: 4.428 4.428 8.051 Å, 90.00 90.00 90.00°
Atoms (fractional coordinates):
Sb 0.250 0.750 0.000
Sb 0.750 0.250 0.000
As 0.250 0.250 0.242
As 0.750 0.750 0.758
Pt 0.250 0.250 0.544
Pt 0.750 0.750 0.456
O 0.250 0.750 0.500
O 0.750 0.250 0.500

Values from the calculation:
Size of the total moment, μB/f.u.: 0.00
Space-group type: P4/nmm (129)

---

*B*
## SbAsPtO (PBE)

Data for a geometry-optimized SbAsPtO structure.

Cell: 3.729 6.967 6.473 Å, 90.00 90.00 90.00°
Atoms (fractional coordinates):
Sb 0.000 0.200 0.000
Sb 0.000 0.800 0.500
As 0.000 0.188 0.442
As 0.000 0.812 0.942
Pt 0.500 0.268 0.653
Pt 0.500 0.732 0.153
O 0.500 0.333 0.017
O 0.500 0.667 0.517

Values from the calculation:
Size of the total moment, μB/f.u.: 0.00
Space-group type: Pmc2_1 (26)

---

What is the stability order? It is *B*, *A*, from most stable to least stable.

---

*A*
## SiAsPtO (PBE)

Data for a geometry-optimized SiAsPtO structure.

Cell: 3.763 8.317 4.582 Å, 90.00 90.00 90.00°
Atoms (fractional coordinates):
Si 0.000 0.121 0.000
Si 0.000 0.879 0.500
As 0.500 0.291 0.922
As 0.500 0.709 0.422
Pt 0.500 0.407 0.426
Pt 0.500 0.593 0.926
O 0.000 0.056 0.339
O 0.000 0.944 0.839

Values from the calculation:
Size of the total moment, μB/f.u.: 0.00
Space-group type: Pmc2_1 (26)

---

*B*
## SiAsPtO (PBE)

Data for a geometry-optimized SiAsPtO structure.

Cell: 2.720 6.390 8.490 Å, 90.00 90.00 90.00°
Atoms (fractional coordinates):
Si 0.000 0.228 0.000
Si 0.000 0.772 0.500
As 0.000 0.158 0.517
As 0.000 0.842 0.017
Pt 0.500 0.116 0.773
Pt 0.500 0.884 0.273
O 0.500 0.348 0.078
O 0.500 0.652 0.578

Values from the calculation:
Size of the total moment, μB/f.u.: 0.01
Space-group type: Pmc2_1 (26)

---

What is the stability order? It is *A*, *B*, from most stable to least stable.

---

*A*
## SiAsPtO (PBE)

Data for a geometry-optimized SiAsPtO structure.

Cell: 3.718 3.718 9.512 Å, 90.00 90.00 90.00°
Atoms (fractional coordinates):
Si 0.250 0.250 0.093
Si 0.750 0.750 0.907
As 0.250 0.250 0.681
As 0.750 0.750 0.319
Pt 0.250 0.750 0.500
Pt 0.750 0.250 0.500
O 0.250 0.750 0.000
O 0.750 0.250 0.000

Values from the calculation:
Size of the total moment, μB/f.u.: 0.00
Space-group type: P4/nmm (129)

---

*B*
## SiAsPtO (PBE)

Data for a geometry-optimized SiAsPtO structure.

Cell: 4.148 4.148 7.864 Å, 90.00 90.00 90.00°
Atoms (fractional coordinates):
Si 0.250 0.750 0.000
Si 0.750 0.250 0.000
As 0.250 0.250 0.180
As 0.750 0.750 0.820
Pt 0.250 0.250 0.566
Pt 0.750 0.750 0.434
O 0.250 0.750 0.500
O 0.750 0.250 0.500

Values from the calculation:
Size of the total moment, μB/f.u.: 0.01
Space-group type: P4/nmm (129)

---

What is the stability order? It is *A*, *B*, from most stable to least stable.

---

*A*
## SnAsPtO (PBE)

Data for a geometry-optimized SnAsPtO structure.

Cell: 3.484 7.015 6.831 Å, 90.00 90.00 90.00°
Atoms (fractional coordinates):
Sn 0.000 0.187 0.000
Sn 0.000 0.813 0.500
As 0.000 0.192 0.414
As 0.000 0.808 0.914
Pt 0.500 0.277 0.631
Pt 0.500 0.723 0.131
O 0.500 0.350 0.949
O 0.500 0.650 0.449

Values from the calculation:
Size of the total moment, μB/f.u.: 0.00
Space-group type: Pmc2_1 (26)

---

*B*
## SnAsPtO (PBE)

Data for a geometry-optimized SnAsPtO structure.

Cell: 4.415 4.415 7.993 Å, 90.00 90.00 90.00°
Atoms (fractional coordinates):
Sn 0.250 0.750 0.000
Sn 0.750 0.250 0.000
As 0.250 0.250 0.225
As 0.750 0.750 0.775
Pt 0.250 0.250 0.538
Pt 0.750 0.750 0.462
O 0.250 0.750 0.500
O 0.750 0.250 0.500

Values from the calculation:
Size of the total moment, μB/f.u.: 0.00
Space-group type: P4/nmm (129)

---

What is the stability order? It is *A*, *B*, from most stable to least stable.

---

*A*
## SnAsPtO (PBE)

Data for a geometry-optimized SnAsPtO structure.

Cell: 3.925 3.925 10.008 Å, 90.00 90.00 90.00°
Atoms (fractional coordinates):
Sn 0.250 0.250 0.114
Sn 0.750 0.750 0.886
As 0.250 0.250 0.659
As 0.750 0.750 0.341
Pt 0.250 0.750 0.500
Pt 0.750 0.250 0.500
O 0.250 0.750 0.000
O 0.750 0.250 0.000

Values from the calculation:
Size of the total moment, μB/f.u.: 0.01
Space-group type: P4/nmm (129)

---

*B*
## SnAsPtO (PBE)

Data for a geometry-optimized SnAsPtO structure.

Cell: 4.397 5.072 6.846 Å, 90.00 90.00 90.00°
Atoms (fractional coordinates):
Sn 0.000 0.090 0.000
Sn 0.000 0.910 0.500
As 0.500 0.325 0.837
As 0.500 0.675 0.337
Pt 0.500 0.227 0.493
Pt 0.500 0.773 0.993
O 0.000 0.221 0.284
O 0.000 0.779 0.784

Values from the calculation:
Size of the total moment, μB/f.u.: 0.00
Space-group type: Pmc2_1 (26)

---

What is the stability order? It is *A*, *B*, from most stable to least stable.

---

*A*
## SrAsPtO (PBE)

Data for a geometry-optimized SrAsPtO structure.

Cell: 4.400 4.400 8.164 Å, 90.00 90.00 90.00°
Atoms (fractional coordinates):
Sr 0.250 0.250 0.118
Sr 0.750 0.750 0.882
As 0.250 0.250 0.651
As 0.750 0.750 0.349
Pt 0.250 0.750 0.500
Pt 0.750 0.250 0.500
O 0.250 0.750 0.000
O 0.750 0.250 0.000

Values from the calculation:
Size of the total moment, μB/f.u.: 0.01
Space-group type: P4/nmm (129)

---

*B*
## SrAsPtO (PBE)

Data for a geometry-optimized SrAsPtO structure.

Cell: 4.631 4.308 7.470 Å, 90.00 90.00 90.00°
Atoms (fractional coordinates):
Sr 0.000 0.250 0.000
Sr 0.000 0.750 0.500
As 0.500 0.249 0.666
As 0.500 0.751 0.166
Pt 0.500 0.251 0.333
Pt 0.500 0.749 0.833
O 0.000 0.250 0.333
O 0.000 0.750 0.833

Values from the calculation:
Size of the total moment, μB/f.u.: 0.01
Space-group type: Pmc2_1 (26)

---

*C*
## SrAsPtO (PBE)

Data for a geometry-optimized SrAsPtO structure.

Cell: 5.520 5.520 4.796 Å, 90.00 90.00 90.00°
Atoms (fractional coordinates):
Sr 0.250 0.750 0.000
Sr 0.750 0.250 0.000
As 0.250 0.250 0.498
As 0.750 0.750 0.502
Pt 0.250 0.250 0.997
Pt 0.750 0.750 0.003
O 0.250 0.750 0.500
O 0.750 0.250 0.500

Values from the calculation:
Size of the total moment, μB/f.u.: 0.00
Space-group type: P4/nmm (129)

---

*D*
## SrAsPtO (PBE)

Data for a geometry-optimized SrAsPtO structure.

Cell: 3.346 8.381 5.564 Å, 90.00 90.00 90.00°
Atoms (fractional coordinates):
Sr 0.000 0.127 0.000
Sr 0.000 0.873 0.500
As 0.000 0.466 0.614
As 0.000 0.534 0.114
Pt 0.500 0.270 0.510
Pt 0.500 0.730 0.010
O 0.500 0.061 0.313
O 0.500 0.939 0.813

Values from the calculation:
Size of the total moment, μB/f.u.: 0.00
Space-group type: Pmc2_1 (26)

---

What is the stability order? It is *A*, *D*, *B*, *C*, from most stable to least stable.